Entry 1:
NdPd6Au, optimized geometry, DFT PBE; space group = No. 123; energy = -42.30 eV/cell; energy relative to the elements = -0.39 eV/atom; N(E_F) = 11.104 states/eV/cell
1.0
5.7591 0.0000 0.0000
0.0000 5.7591 0.0000
0.0000 0.0000 4.1713
Nd Pd Au
1 6 1
direct
0.0000 0.0000 0.0000
0.0000 0.5000 0.0000
0.2581 0.2581 0.5000
0.2581 0.7419 0.5000
0.5000 0.0000 0.0000
0.7419 0.2581 0.5000
0.7419 0.7419 0.5000
0.5000 0.5000 0.0000



Entry 2:
SrAlI2O, optimized geometry, DFT PBE; space group = No. 123; energy = -19.76 eV/cell; N(E_F) = 1.341 states/eV/cell
1.0
6.0765 0.0000 0.0000
0.0000 6.0765 0.0000
0.0000 0.0000 3.6504
Sr Al I O
1 1 2 1
direct
0.0000 0.0000 0.0000
0.5000 0.5000 0.5000
0.0000 0.5000 0.5000
0.5000 0.0000 0.5000
0.5000 0.5000 0.0000



Entry 3:
AcH3Pd, optimized geometry, DFT PBE; space group = No. 107; energy = -21.21 eV/cell; N(E_F) = 0.819 states/eV/cell
1.0
-2.0473 2.0473 4.2328
2.0473 -2.0473 4.2328
2.0473 2.0473 -4.2328
Ac H Pd
1 3 1
direct
0.0000 0.0000 0.0000
0.1910 0.6910 0.5000
0.4378 0.4378 0.0000
0.6910 0.1910 0.5000
0.6437 0.6437 0.0000



Entry 4:
LiNiBr, optimized geometry, DFT PBE; space group = No. 2; energy = -21.37 eV/cell; N(E_F) = 0.000 states/eV/cell
1.0
3.4532 0.0000 0.0000
-0.0008 4.0778 0.0000
-0.0209 -2.0233 8.4599
Li Ni Br
2 2 2
direct
0.2491 0.4359 0.3703
0.7509 0.5641 0.6297
0.2506 0.0480 0.5976
0.7494 0.9520 0.4024
0.2482 0.8515 0.2002
0.7518 0.1485 0.7998



Entry 5:
CdCuRe2, optimized geometry, DFT PBE; space group = No. 122; energy = -53.13 eV/cell; energy relative to the elements = 0.84 eV/atom; N(E_F) = 5.579 states/eV/cell
1.0
-1.8601 1.8601 9.8644
1.8601 -1.8601 9.8644
1.8601 1.8601 -9.8644
Cd Cu Re
2 2 4
direct
0.0000 0.0000 0.0000
0.7500 0.2500 0.5000
0.2500 0.7500 0.5000
0.5000 0.5000 0.0000
0.1637 0.6250 0.0387
0.3750 0.4137 0.5387
0.5863 0.1250 0.9613
0.8750 0.8363 0.4613



Entry 6:
Hf2GaTc, optimized geometry, DFT PBE; space group = No. 123; energy = -35.42 eV/cell; energy relative to the elements = -0.53 eV/atom; N(E_F) = 1.081 states/eV/cell
1.0
3.3430 0.0000 0.0000
0.0000 3.3430 0.0000
0.0000 0.0000 6.4330
Hf Ga Tc
2 1 1
direct
0.0000 0.0000 0.2401
0.0000 0.0000 0.7599
0.5000 0.5000 0.5000
0.5000 0.5000 0.0000



no.,size of the total moment (Bohr magnetons per cell)
1,0.00
2,0.09
3,0.00
4,0.00
5,0.00
6,0.00